Entry 1:
SrSi4Cl: relaxed, GGA-PBE.

abc: 5.434 5.434 5.434
angles: 60.00 60.00 60.00
Fractional coordinates of all 6 atoms:
Si 0.881 0.373 0.373
Si 0.373 0.373 0.373
Si 0.373 0.881 0.373
Si 0.373 0.373 0.881
Cl 0.000 0.000 0.000
Sr 0.750 0.750 0.750

## Properties
- crystal system = cubic
- formation energy (no corrections) (meV per atom) = -46
- symmetry = No. 216



Entry 2:
SrSiCl2: relaxed, GGA-PBE.

abc: 9.165 9.165 9.165
angles: 26.50 26.50 26.50
Fractional coordinates of all 4 atoms:
Cl 0.109 0.109 0.109
Cl 0.891 0.891 0.891
Si 0.000 0.000 0.000
Sr 0.500 0.500 0.500

## Properties
- crystal system = trigonal
- formation energy (no corrections) (meV per atom) = -869
- symmetry = No. 166
- energy above the most stable polymorph in this dataset (kJ per mole of atoms) = 9.9



Entry 3:
Sr2SiCl: relaxed, GGA-PBE.

abc: 5.471 5.471 5.471
angles: 60.00 60.00 60.00
Each line ends with the local moment (μB).
Fractional coordinates of all 4 atoms:
Cl 0.500 0.500 0.500  0.04
Si 0.000 0.000 0.000  0.22
Sr 0.250 0.250 0.250  0.04
Sr 0.750 0.750 0.750  0.04

## Properties
- crystal system = cubic
- formation energy (no corrections) (meV per atom) = -840
- symmetry = No. 225
- energy above the most stable polymorph in this dataset (kJ per mole of atoms) = 20.9



Entry 4:
Sr2SiCl: relaxed, GGA-PBE.

abc: 3.705 4.141 8.296
angles: 90.00 90.00 90.00
Fractional coordinates of all 4 atoms:
Cl 0.500 0.250 0.250
Sr 0.000 0.250 0.963
Sr 0.000 0.250 0.537
Si 0.500 0.750 0.750

## Properties
- crystal system = orthorhombic
- formation energy (no corrections) (meV per atom) = -1056
- symmetry = No. 47
- energy above the most stable polymorph in this dataset (kJ per mole of atoms) = 0.0



Entry 5:
SrSiCl2: relaxed, GGA-PBE.

abc: 4.793 4.793 4.142
angles: 90.00 90.00 90.00
Fractional coordinates of all 4 atoms:
Cl 0.500 0.500 0.000
Cl 0.000 0.000 0.000
Sr 0.000 0.500 0.500
Si 0.500 0.000 0.500

## Properties
- crystal system = tetragonal
- formation energy (no corrections) (meV per atom) = -776
- symmetry = No. 123
- energy above the most stable polymorph in this dataset (kJ per mole of atoms) = 18.9



Entry 6:
SrSiCl2: relaxed, GGA-PBE.

abc: 6.682 6.682 6.682
angles: 144.26 144.26 51.44
Fractional coordinates of all 4 atoms:
Cl 0.000 0.000 0.000
Cl 0.250 0.750 0.500
Sr 0.750 0.250 0.500
Si 0.500 0.500 0.000

## Properties
- crystal system = tetragonal
- formation energy (no corrections) (meV per atom) = -826
- symmetry = No. 119
- energy above the most stable polymorph in this dataset (kJ per mole of atoms) = 14.1



Entry 7:
SrSiCl2: relaxed, GGA-PBE.

abc: 5.730 5.730 5.730
angles: 137.94 125.45 71.19
Fractional coordinates of all 4 atoms:
Cl 0.064 0.064 0.000
Cl 0.436 0.436 0.000
Sr 0.750 0.250 0.500
Si 0.250 0.750 0.500

## Properties
- crystal system = orthorhombic
- formation energy (no corrections) (meV per atom) = -972
- symmetry = No. 71
- energy above the most stable polymorph in this dataset (kJ per mole of atoms) = 0.0



Entry 8:
SrSiCl2: relaxed, GGA-PBE.

abc: 5.001 5.001 9.885
angles: 75.35 75.35 90.00
Each line ends with the local moment (μB).
Fractional coordinates of all 8 atoms:
Cl 0.375 0.388 0.750  0.05
Cl 0.875 0.862 0.750  0.05
Cl 0.138 0.625 0.250  0.05
Cl 0.612 0.125 0.250  0.05
Si 0.500 0.500 0.000  0.29
Si 0.250 0.750 0.500  0.30
Sr 0.000 0.000 0.000  0.05
Sr 0.750 0.250 0.500  0.05

## Properties
- crystal system = tetragonal
- formation energy (no corrections) (meV per atom) = -778
- symmetry = No. 122
- energy above the most stable polymorph in this dataset (kJ per mole of atoms) = 18.7



Entry 9:
Sr2SiCl: relaxed, GGA-PBE.

abc: 7.292 7.292 7.292
angles: 145.13 145.13 50.14
Fractional coordinates of all 4 atoms:
Sr 0.250 0.750 0.500
Sr 0.000 0.000 0.000
Si 0.750 0.250 0.500
Cl 0.500 0.500 0.000

## Properties
- crystal system = tetragonal
- formation energy (no corrections) (meV per atom) = -713
- symmetry = No. 119
- energy above the most stable polymorph in this dataset (kJ per mole of atoms) = 33.1



Entry 10:
SrSiCl2: relaxed, GGA-PBE.

abc: 5.471 5.471 5.471
angles: 126.98 126.98 78.28
Each line ends with the local moment (μB).
Fractional coordinates of all 4 atoms:
Si 0.250 0.750 0.500  0.43
Cl 0.000 0.000 0.000  0.07
Cl 0.500 0.500 0.000  0.07
Sr 0.750 0.250 0.500  0.08

## Properties
- crystal system = tetragonal
- formation energy (no corrections) (meV per atom) = -739
- symmetry = No. 139
- energy above the most stable polymorph in this dataset (kJ per mole of atoms) = 22.4



Entry 11:
Sr2TaSiCl: relaxed, GGA-PBE.

abc: 5.542 4.609 5.542
angles: 90.00 90.00 90.00
Each line ends with the local moment (μB).
Fractional coordinates of all 5 atoms:
Si 0.500 0.500 0.500  0.00
Cl 0.000 0.000 0.000  -0.01
Sr 0.000 0.000 0.500  0.02
Sr 0.500 0.000 0.000  0.02
Ta 0.000 0.500 0.000  0.63

## Properties
- crystal system = tetragonal
- formation energy (no corrections) (meV per atom) = 287
- symmetry = No. 123



Entry 12:
Sr2SiTcCl: relaxed, GGA-PBE.

abc: 6.080 4.489 6.080
angles: 90.00 90.00 90.00
Each line ends with the local moment (μB).
Fractional coordinates of all 5 atoms:
Sr 0.500 0.000 0.000  0.00
Sr 0.000 0.000 0.500  0.00
Cl 0.500 0.500 0.500  0.02
Tc 0.000 0.500 0.000  1.37
Si 0.000 0.000 0.000  -0.02

## Properties
- crystal system = tetragonal
- formation energy (no corrections) (meV per atom) = -210
- symmetry = No. 123



Mass density (g/cm³)
3.44 2.29 3.42 3.12 3.26 3.06 3.08 2.68 3.14 3.06 4.92 3.37